DFT (PBE-GGA) results for a relaxed structure of HfThTi.

Computed properties:
Formation energy: 0.191 eV/atom
Total magnetization: 0.00 μB/f.u.
Calculated total energy: -24.694 eV/f.u.

a b c (Å): 5.0149 5.0149 3.3403
angles (deg): 90.00 90.00 120.00
Space group P3m1 (No. 156)
Asymmetric unit:
Hf: 0.0000 0.0000 0.0000
Th: 0.6667 0.3333 0.4499
Ti: 0.3333 0.6667 0.8756



DFT (PBE-GGA) results for a relaxed structure of LaSO4F.

Computed properties:
Formation energy (no corrections): -17.80 eV/f.u.
Total magnetization: 0.00 μB/f.u.
Calculated total energy: -48.563 eV/f.u.

a b c (Å): 9.387 7.349 6.722
angles (deg): 90.00 104.99 90.00
Space group C2/m (No. 12)
Asymmetric unit:
La: 0.211 0.000 0.137
S: 0.147 0.500 0.268
O: 0.012 0.500 0.746
O: 0.187 0.338 0.155
O: 0.235 0.500 0.483
F: 0.025 0.000 0.822



DFT (PBE-GGA) results for a relaxed structure of Ca6Tl2Ga.

Computed properties:
Formation energy: -0.320 eV/atom
Total magnetization: 0.00 μB/f.u.
Calculated total energy: -22.650 eV/f.u.

a b c (Å): 10.361 10.369 5.352
angles (deg): 90.00 90.00 90.00
Space group Pnnm (No. 58)
Asymmetric unit:
Ca: 0.030 0.199 0.000
Ca: 0.117 0.617 0.500
Ca: 0.199 0.969 0.500
Tl: 0.209 0.290 0.500
Ga: 0.000 0.500 0.000



DFT (PBE-GGA) results for a relaxed structure of Rb2GaAu.

Computed properties:
Formation energy: -0.194 eV/atom
Total magnetization: 0.00 μB/f.u.
Calculated total energy: -9.016 eV/f.u.

a b c (Å): 7.886 4.640 9.986
angles (deg): 90.00 105.04 90.00
Space group Cm (No. 8)
Asymmetric unit:
Rb: 0.000 0.000 0.000
Rb: 0.173 0.000 0.523
Ga: 0.420 0.000 0.261
Au: 0.255 0.500 0.261



DFT (PBE-GGA) results for a relaxed structure of Tb12Pr6Y.

Computed properties:
Formation energy: 0.127 eV/atom
Total magnetization: 0.00 μB/f.u.
Calculated total energy: -88.291 eV/f.u.

a b c (Å): 11.1974 11.1974 17.7478
angles (deg): 90.00 90.00 120.00
Space group R-3m (No. 166, hexagonal axes)
Asymmetric unit:
Tb: 0.0997 0.5499 0.4129
Tb: 0.1057 0.2115 0.4078
Pr: 0.0685 0.5342 0.7675
Y: 0.0000 0.0000 0.0000



DFT (PBE-GGA) results for a relaxed structure of Dy11Hg9Rh4.

Computed properties:
Formation energy: -0.630 eV/atom
Total magnetization: 0.00 μB/f.u.
Calculated total energy: -97.860 eV/f.u.

a b c (Å): 14.385 21.521 3.677
angles (deg): 90.00 90.00 90.00
Space group Cmmm (No. 65)
Asymmetric unit:
Dy: 0.000 0.000 0.000
Dy: 0.000 0.166 0.000
Dy: 0.000 0.368 0.000
Dy: 0.203 0.500 0.000
Dy: 0.250 0.167 0.000
Hg: 0.000 0.500 0.500
Hg: 0.110 0.260 0.500
Hg: 0.137 0.076 0.500
Rh: 0.146 0.403 0.500



DFT (PBE-GGA) results for a relaxed structure of Th2HRh4Pb2.

Computed properties:
Total magnetization: 0.00 μB/f.u.
Calculated total energy: -58.063 eV/f.u.

a b c (Å): 6.480 6.480 8.168
angles (deg): 90.00 90.00 90.00
Space group I4/mmm (No. 139)
Asymmetric unit:
Th: 0.000 0.000 0.215
H: 0.000 0.000 0.500
Rh: 0.235 0.235 0.500
Pb: 0.000 0.500 0.250



DFT (PBE-GGA) results for a relaxed structure of NaSr4Ca4.

Computed properties:
Formation energy: 0.031 eV/atom
Total magnetization: 0.00 μB/f.u.
Calculated total energy: -15.770 eV/f.u.

a b c (Å): 11.973 11.973 5.893
angles (deg): 90.00 90.00 90.00
Space group I4/mmm (No. 139)
Asymmetric unit:
Na: 0.000 0.000 0.000
Sr: 0.000 0.324 0.000
Ca: 0.164 0.164 0.500